A geometry-optimized LiSmMgRh structure, computed with PBE-GGA.

extended XYZ file:
```
16
Lattice="6.8106 0.0000 0.0000 0.0000 6.8106 0.0000 0.0000 0.0000 6.8106" Properties=species:S:1:pos:R:3 pbc="T T T"
Li 0.0000 0.0000 0.0000
Li 0.0000 3.4053 3.4053
Li 3.4053 0.0000 3.4053
Li 3.4053 3.4053 0.0000
Sm 1.7027 1.7027 1.7027
Sm 1.7027 5.1080 5.1080
Sm 5.1080 1.7027 5.1080
Sm 5.1080 5.1080 1.7027
Mg 1.7027 1.7027 5.1080
Mg 1.7027 5.1080 1.7027
Mg 5.1080 1.7027 1.7027
Mg 5.1080 5.1080 5.1080
Rh 0.0000 0.0000 3.4053
Rh 0.0000 3.4053 0.0000
Rh 3.4053 0.0000 0.0000
Rh 3.4053 3.4053 3.4053
```

Computed properties:
VASP energy: -4.275 eV/atom
Density of states at the Fermi level: 7.68 states/eV per cell
E_form: -0.381 eV/atom

---

A geometry-optimized Sr2LiMgRh2 structure, computed with PBE-GGA.

extended XYZ file:
```
12
Lattice="-2.9980 7.7018 3.0180 2.9980 -7.7018 3.0180 2.9980 7.7018 -3.0180" Properties=species:S:1:pos:R:3 pbc="T T T"
Sr 1.4531 2.6196 0.0000
Sr 1.4531 -2.6196 3.0180
Sr 1.5449 10.3214 0.0000
Sr 1.5449 5.0822 3.0180
Li 0.0000 0.0000 1.5090
Li 0.0000 0.0000 4.5270
Mg 2.9980 0.0000 1.5090
Mg 0.0000 7.7018 1.5090
Rh 4.4390 1.7029 0.0000
Rh 1.4410 5.9989 0.0000
Rh 1.5570 1.7029 3.0180
Rh -1.4410 5.9989 3.0180
```

Computed properties:
VASP energy: -3.827 eV/atom
Density of states at the Fermi level: 5.68 states/eV per cell
E_form: -0.231 eV/atom

---

A geometry-optimized SrLiMg2Rh structure, computed with PBE-GGA.

extended XYZ file:
```
5
Lattice="5.0374 0.0000 0.0000 0.0000 5.0374 0.0000 0.0000 0.0000 4.9825" Properties=species:S:1:pos:R:3 pbc="T T T"
Sr 0.0000 0.0000 0.0000
Li 2.5187 2.5187 0.0000
Mg 0.0000 2.5187 2.4913
Mg 2.5187 0.0000 2.4913
Rh 2.5187 2.5187 2.4913
```

Computed properties:
VASP energy: -2.994 eV/atom
Density of states at the Fermi level: 1.84 states/eV per cell
E_form: -0.167 eV/atom

---

A geometry-optimized LiMgTaRh structure, computed with PBE-GGA.

extended XYZ file:
```
16
Lattice="6.2826 0.0000 0.0000 0.0000 6.2826 0.0000 0.0000 0.0000 6.2826" Properties=species:S:1:pos:R:3 pbc="T T T"
Li 0.0000 0.0000 0.0000
Li 0.0000 3.1413 3.1413
Li 3.1413 0.0000 3.1413
Li 3.1413 3.1413 0.0000
Mg 1.5707 1.5707 4.7120
Mg 1.5707 4.7120 1.5707
Mg 4.7120 1.5707 1.5707
Mg 4.7120 4.7120 4.7120
Ta 1.5707 1.5707 1.5707
Ta 1.5707 4.7120 4.7120
Ta 4.7120 1.5707 4.7120
Ta 4.7120 4.7120 1.5707
Rh 0.0000 0.0000 3.1413
Rh 0.0000 3.1413 0.0000
Rh 3.1413 0.0000 0.0000
Rh 3.1413 3.1413 3.1413
```

Computed properties:
VASP energy: -5.863 eV/atom
Density of states at the Fermi level: 16.79 states/eV per cell
E_form: -0.185 eV/atom

---

A geometry-optimized LiMg2TcRh structure, computed with PBE-GGA.

extended XYZ file:
```
5
Lattice="4.4354 0.0000 0.0000 0.0000 4.4354 0.0000 0.0000 0.0000 4.1175" Properties=species:S:1:pos:R:3 pbc="T T T"
Li 0.0000 0.0000 0.0000
Mg 0.0000 2.2177 0.0000
Mg 2.2177 0.0000 0.0000
Tc 2.2177 2.2177 2.0588
Rh 0.0000 0.0000 2.0588
```

Computed properties:
VASP energy: -3.895 eV/atom
Density of states at the Fermi level: 4.49 states/eV per cell
E_form: 0.669 eV/atom

---

A geometry-optimized LiMg2TcRh structure, computed with PBE-GGA.

extended XYZ file:
```
5
Lattice="4.3564 0.0000 0.0000 0.0000 4.3564 0.0000 0.0000 0.0000 4.2557" Properties=species:S:1:pos:R:3 pbc="T T T"
Li 0.0000 0.0000 0.0000
Mg 0.0000 2.1782 0.0000
Mg 2.1782 0.0000 0.0000
Tc 0.0000 0.0000 2.1279
Rh 2.1782 2.1782 2.1279
```

Computed properties:
VASP energy: -3.752 eV/atom
Density of states at the Fermi level: 4.63 states/eV per cell
E_form: 0.812 eV/atom

---

A geometry-optimized LiMgTcRh structure, computed with PBE-GGA.

extended XYZ file:
```
16
Lattice="6.1346 0.0000 0.0000 0.0000 6.1346 0.0000 0.0000 0.0000 6.1346" Properties=species:S:1:pos:R:3 pbc="T T T"
Li 0.0000 0.0000 0.0000
Li 0.0000 3.0673 3.0673
Li 3.0673 0.0000 3.0673
Li 3.0673 3.0673 0.0000
Mg 1.5337 1.5337 4.6010
Mg 1.5337 4.6010 1.5337
Mg 4.6010 1.5337 1.5337
Mg 4.6010 4.6010 4.6010
Tc 1.5337 1.5337 1.5337
Tc 1.5337 4.6010 4.6010
Tc 4.6010 1.5337 4.6010
Tc 4.6010 4.6010 1.5337
Rh 0.0000 0.0000 3.0673
Rh 0.0000 3.0673 0.0000
Rh 3.0673 0.0000 0.0000
Rh 3.0673 3.0673 3.0673
```

Computed properties:
VASP energy: -5.316 eV/atom
Density of states at the Fermi level: 15.33 states/eV per cell
E_form: -0.010 eV/atom

---

A geometry-optimized LiTmMgRh structure, computed with PBE-GGA.

extended XYZ file:
```
16
Lattice="6.6687 0.0000 0.0000 0.0000 6.6687 0.0000 0.0000 0.0000 6.6687" Properties=species:S:1:pos:R:3 pbc="T T T"
Li 0.0000 0.0000 0.0000
Li 0.0000 3.3344 3.3344
Li 3.3344 0.0000 3.3344
Li 3.3344 3.3344 0.0000
Tm 1.6672 1.6672 5.0016
Tm 1.6672 5.0016 1.6672
Tm 5.0016 1.6672 1.6672
Tm 5.0016 5.0016 5.0016
Mg 1.6672 1.6672 1.6672
Mg 1.6672 5.0016 5.0016
Mg 5.0016 1.6672 5.0016
Mg 5.0016 5.0016 1.6672
Rh 0.0000 0.0000 3.3344
Rh 0.0000 3.3344 0.0000
Rh 3.3344 0.0000 0.0000
Rh 3.3344 3.3344 3.3344
```

Computed properties:
VASP energy: -4.291 eV/atom
Density of states at the Fermi level: 8.55 states/eV per cell
E_form: -0.459 eV/atom

---

A geometry-optimized LiMg2VRh structure, computed with PBE-GGA.

extended XYZ file:
```
5
Lattice="4.9607 0.0000 0.0000 0.0000 4.9607 0.0000 0.0000 0.0000 4.2940" Properties=species:S:1:pos:R:3 pbc="T T T"
Li 0.0000 0.0000 0.0000
Mg 0.0000 2.4803 2.1470
Mg 2.4803 0.0000 2.1470
V 0.0000 0.0000 2.1470
Rh 2.4803 2.4803 0.0000
```

Computed properties:
VASP energy: -3.085 eV/atom
Density of states at the Fermi level: 4.45 states/eV per cell
E_form: 1.229 eV/atom

---

A geometry-optimized LiMgRu2 structure, computed with PBE-GGA.

extended XYZ file:
```
8
Lattice="4.3205 0.0000 0.0000 0.0000 4.3205 0.0000 0.0000 0.0000 6.0380" Properties=species:S:1:pos:R:3 pbc="T T T"
Li 0.0000 0.0000 0.0000
Li 2.1603 2.1603 3.0190
Mg 0.0000 2.1603 4.5285
Mg 2.1603 0.0000 1.5095
Ru 0.0000 0.0000 3.0190
Ru 0.0000 2.1603 1.5095
Ru 2.1603 0.0000 4.5285
Ru 2.1603 2.1603 0.0000
```

Computed properties:
VASP energy: -5.481 eV/atom
Density of states at the Fermi level: 5.90 states/eV per cell
E_form: 0.034 eV/atom

---

A geometry-optimized LiMgRu2 structure, computed with PBE-GGA.

extended XYZ file:
```
8
Lattice="2.8510 0.0000 0.0000 0.0000 4.5516 0.0000 0.0000 0.0000 9.0034" Properties=species:S:1:pos:R:3 pbc="T T T"
Li 0.0000 0.0000 0.0000
Li 1.4255 2.2758 0.0000
Mg 0.0000 0.0000 4.5017
Mg 1.4255 2.2758 4.5017
Ru 0.0000 2.2758 2.2451
Ru 0.0000 2.2758 6.7583
Ru 1.4255 0.0000 2.2451
Ru 1.4255 0.0000 6.7583
```

Computed properties:
VASP energy: -5.303 eV/atom
Density of states at the Fermi level: 7.40 states/eV per cell
E_form: 0.212 eV/atom

---

A geometry-optimized LiMgRu2 structure, computed with PBE-GGA.

extended XYZ file:
```
8
Lattice="8.7177 0.0000 0.0000 0.0000 2.7854 0.0000 -0.5923 0.0000 4.8774" Properties=species:S:1:pos:R:3 pbc="T T T"
Li 0.0000 0.0000 0.0000
Li 4.3588 1.3927 0.0000
Mg 2.1219 1.3927 1.0597
Mg 6.4808 0.0000 1.0597
Ru -0.2601 1.3927 2.6106
Ru 1.7418 0.0000 3.4419
Ru 4.0987 0.0000 2.6106
Ru 6.1007 1.3927 3.4419
```

Computed properties:
VASP energy: -5.416 eV/atom
Density of states at the Fermi level: 6.22 states/eV per cell
E_form: 0.099 eV/atom